Below is a relaxed K2MgTa crystal, with properties calculated at the GGA-PBEsol level.

Cell: 2.855 6.712 6.712 Å, 90.00 90.00 90.00°
Site moments in Bohr magnetons follow the coordinates.
Fractional positions:
K: 0.000 0.000 0.500  0.01
K: 0.000 0.500 0.000  0.01
Mg: 0.500 0.500 0.500  0.00
Ta: 0.500 0.000 0.000  0.29

## Properties
* calculated formation energy: 1.34 eV per atom
* raw total energy: -0.2052 Ry/atom
* size of the total moment: 0.489 μB per cell
* theoretical density: 3660 kg/m³